Material: ZrNi3As
Method: DFT, GGA-PBE
State: relaxed

Unit cell a=4.3168 b=4.3168 c=4.3168 alpha=90.00 beta=90.00 gamma=90.00
Last column: nearest neighbours and their distance in Å.
Space group Pm-3m (No. 221)
Symmetry-distinct sites (fractional):
Zr1 0.0000 0.0000 0.0000 [1 per cell]  12 Ni 3.05
Ni1 0.0000 0.5000 0.5000 [3 per cell]  2 As 2.16
As1 0.5000 0.5000 0.5000 [1 per cell]  6 Ni 2.16

Summary:
- total moment (μB/f.u.) = 0.000
- final energy (eV per atom) = -6.035
- density of states at the Fermi level (states/eV/f.u.) = 3.874